Record 1
A geometry-optimized Ba3CaZn2 structure, computed with PBE.

Cell lengths 4.1265, 4.1265, 14.2212 Å; angles 90.00, 90.00, 90.00 degrees
Closest atoms and distances in Å follow each position.
Space group P4/mmm (No. 123)
Symmetry-distinct sites (fractional):
Ba  0.0000  0.0000  0.0000  8 Zn 3.61
Ba  0.0000  0.0000  0.2846  4 Zn 3.50
Ca  0.5000  0.5000  0.5000  4 Ca 4.13, 8 Ba 4.23
Zn  0.5000  0.5000  0.1492  8 Ba 3.50-3.61

Results
Crystal system: tetragonal
VASP energy in eV/atom: -1.827
Energy of formation from the pure elements in meV per atom: -108
Spin magnetization in μB/cell: 0.000

***

Record 2
A geometry-optimized TaSe2SI structure, computed with PBE.

Cell lengths 5.1107, 5.1107, 4.6372 Å; angles 90.00, 90.00, 90.00 degrees
Closest atoms and distances in Å follow each position.
Space group P4/mmm (No. 123)
Symmetry-distinct sites (fractional):
Ta  0.0000  0.0000  0.0000  2 S 2.32
Se  0.0000  0.5000  0.5000  2 S 2.56
S  0.0000  0.0000  0.5000  2 Ta 2.32, 4 Se 2.56
I  0.5000  0.5000  0.0000  8 Se 3.45, 4 Ta 3.61

Results
Crystal system: tetragonal
Formation energy (no corrections) in eV/atom: 0.83
VASP energy in eV/atom: -4.068
Spin magnetization in μB/cell: 0.002

***

Record 3
A geometry-optimized CuSi4Pb structure, computed with PBE.

Cell lengths 7.5262, 7.5262, 7.5262 Å; angles 90.00, 90.00, 90.00 degrees
Closest atoms and distances in Å follow each position.
Space group F-43m (No. 216)
Symmetry-distinct sites (fractional):
Cu  0.0000  0.0000  0.0000  12 Si 3.11, 4 Pb 3.26
Si  0.1274  0.1274  0.6274  6 Si 2.61-2.71
Pb  0.2500  0.2500  0.2500  12 Si 3.13, 4 Cu 3.26

Results
Crystal system: cubic
Formation energy (no corrections) in eV/atom: 0.60
VASP energy in eV/atom: -4.318
Spin magnetization in μB/cell: 0.000

***

Record 4
A geometry-optimized CeTmPb structure, computed with PBE.

Cell lengths 5.8893, 10.2485, 5.5923 Å; angles 90.00, 90.00, 90.00 degrees
Closest atoms and distances in Å follow each position.
Space group Cmcm (No. 63)
Symmetry-distinct sites (fractional):
Ce  0.0000  0.0751  0.2500  2 Ce 3.19, 5 Pb 3.34-3.43, 3 Tm 3.38-3.42
Tm  0.0000  0.4045  0.2500  5 Pb 3.20-3.51, 3 Ce 3.38-3.42, 2 Tm 3.41
Pb  0.0000  0.2530  0.7500  5 Tm 3.20-3.51, 5 Ce 3.34-3.43

Results
Crystal system: orthorhombic
VASP energy in eV/atom: -4.948
Energy of formation from the pure elements in meV per atom: -243
Spin magnetization in μB/cell: 4.428